a | ## TlCd2In6 (PBE-GGA)

Data for a relaxed structure of TlCd2In6.

abc: 3.3208 14.0962 10.2828
angles: 90.00 93.25 90.00
Fractional coordinates of all 18 atoms:
Tl  0.5000  0.5000  0.0000
Tl  0.0000  0.0000  0.5000
Cd  0.0038  0.3335  0.8275
Cd  0.4962  0.8335  0.6725
Cd  0.5038  0.1665  0.3275
Cd  0.9962  0.6665  0.1725
In  0.0172  0.0052  0.1642
In  0.0093  0.6728  0.5070
In  0.9993  0.6692  0.8283
In  0.5007  0.1692  0.6717
In  0.4907  0.1728  0.9930
In  0.4828  0.5052  0.3358
In  0.9828  0.9948  0.8358
In  0.9907  0.3272  0.4930
In  0.0007  0.3308  0.1717
In  0.4993  0.8308  0.3283
In  0.5093  0.8272  0.0070
In  0.5172  0.4948  0.6642

Calculated values
Total magnetization, μB/f.u.: 0.00



b | ## TlCd2In6 (PBE-GGA)

Data for a relaxed structure of TlCd2In6.

abc: 5.6562 5.6562 10.2410
angles: 90.00 90.00 120.00
Fractional coordinates of all 9 atoms:
Tl  0.0000  0.0000  0.0000
Cd  0.3333  0.6667  0.5000
Cd  0.6667  0.3333  0.5000
In  0.6544  0.0000  0.2498
In  0.3456  0.3456  0.2498
In  0.0000  0.6544  0.2498
In  0.6544  0.6544  0.7502
In  0.0000  0.3456  0.7502
In  0.3456  0.0000  0.7502

Calculated values
Total magnetization, μB/f.u.: 0.00



Which is most stable, and by how much? a, by 118 meV per atom.